No. 1
The following is a DFT calculation (PBE+U) of NiRuO2 after structural relaxation.

Results
Spin magnetization (μB per formula unit): 1.29
Fermi-level density of states (states/eV/cell): 3.293
Space group: R-3m (166)

```
4
Lattice="1.409 0.814 6.138 -1.409 0.814 6.138 0.000 -1.627 6.138" Properties=species:S:1:pos:R:3 pbc="T T T"
Ni 0.000 0.000 0.000
Ru 0.000 0.000 9.207
O 0.000 0.000 7.303
O 0.000 0.000 11.111
```

No. 2
The following is a DFT calculation (PBE+U) of NiRuO2 after structural relaxation.

Results
Spin magnetization (μB per formula unit): 0.72
Fermi-level density of states (states/eV/cell): 2.677
Space group: P2/m (10)

```
4
Lattice="2.725 0.000 0.000 0.000 2.821 0.000 -0.012 0.000 5.756" Properties=species:S:1:pos:R:3 pbc="T T T"
Ni 0.000 0.000 0.000
Ru 1.357 1.411 2.878
O -0.006 1.411 4.378
O 2.719 1.411 1.378
```

No. 3
The following is a DFT calculation (PBE+U) of Ni2RuO4 after structural relaxation.

Results
Spin magnetization (μB per formula unit): 6.01
Fermi-level density of states (states/eV/cell): 2.935
Space group: Cmmm (65)

```
7
Lattice="2.969 -4.385 0.000 2.969 4.385 0.000 0.000 0.000 2.992" Properties=species:S:1:pos:R:3 pbc="T T T"
Ni 1.485 2.193 0.000
Ni 1.485 -2.193 0.000
Ru 0.000 0.000 1.496
O 1.344 0.000 0.000
O 2.969 2.342 1.496
O 2.969 -2.342 1.496
O 4.595 0.000 0.000
```

No. 4
The following is a DFT calculation (PBE+U) of Ni3RuO after structural relaxation.

Results
Spin magnetization (μB per formula unit): 6.10
Fermi-level density of states (states/eV/cell): 3.296
Space group: Pm-3m (221)

```
5
Lattice="4.638 0.000 0.000 0.000 4.638 0.000 0.000 0.000 4.638" Properties=species:S:1:pos:R:3 pbc="T T T"
Ni 0.000 0.000 2.319
Ni 0.000 2.319 0.000
Ni 2.319 0.000 0.000
Ru 0.000 0.000 0.000
O 2.319 2.319 2.319
```

Total energy in eV per atom, matching the order above: -6.100 -6.033 -5.773 -2.251